# 1
Sm2AlGe2: relaxed, PBE.

a b c (Å): 5.8037 5.8037 5.8037
angles (deg): 137.58 118.17 77.86
Element x y z (fractional)
Sm1 0.2110 0.2110 0.0000
Sm2 0.7890 0.7890 0.0000
Al1 0.5000 0.0000 0.5000
Ge1 0.2166 0.5000 0.7166
Ge2 0.7834 0.5000 0.2834

theoretical density: 6.95 g/cm3
formation energy from the elements: -0.728 eV/atom

# 2
SmAl2Ge: relaxed, PBE.

a b c (Å): 8.9279 8.9279 8.9279
angles (deg): 25.19 25.19 25.19
Element x y z (fractional)
Sm1 0.0000 0.0000 0.0000
Al1 0.1198 0.1198 0.1198
Al2 0.8802 0.8802 0.8802
Ge1 0.5000 0.5000 0.5000

theoretical density: 4.06 g/cm3
distance to the lowest polymorph of the same formula: 811 meV per atom
formation energy from the elements: 0.399 eV/atom

# 3
Sm6AlGe2: relaxed, PBE.

a b c (Å): 8.7028 8.7028 8.7028
angles (deg): 111.16 110.72 106.57
Element x y z (fractional)
Sm1 0.0493 0.2463 0.8030
Sm2 0.1719 0.4657 0.2938
Sm3 0.1719 0.8781 0.7062
Sm4 0.3221 0.2282 0.5503
Sm5 0.3221 0.7718 0.0939
Sm6 0.4433 0.2463 0.1970
Sm7 0.5567 0.7537 0.8030
Sm8 0.6779 0.2282 0.9061
Sm9 0.6779 0.7718 0.4497
Sm10 0.8281 0.1219 0.2938
Sm11 0.8281 0.5343 0.7062
Sm12 0.9507 0.7537 0.1970
Al1 0.0000 0.0000 0.0000
Al2 0.5000 0.5000 0.0000
Ge1 0.1544 0.5000 0.6544
Ge2 0.3788 0.8788 0.5000
Ge3 0.6212 0.1212 0.5000
Ge4 0.8456 0.5000 0.3456

theoretical density: 7.05 g/cm3
formation energy from the elements: -0.503 eV/atom

# 4
SmTmAlGe: relaxed, PBE.

a b c (Å): 4.0330 5.8819 5.8819
angles (deg): 43.94 90.00 90.00
Element x y z (fractional)
Sm1 0.0000 0.0000 0.0000
Tm1 0.5000 0.2816 0.2816
Al1 0.0000 0.7172 0.7172
Ge1 0.5000 0.5643 0.5643

theoretical density: 7.19 g/cm3
formation energy from the elements: -0.673 eV/atom

# 5
SmYAlGe: relaxed, PBE.

a b c (Å): 4.0595 5.9342 5.9342
angles (deg): 43.80 90.00 90.00
Element x y z (fractional)
Sm1 0.0000 0.0000 0.0000
Y1 0.5000 0.2815 0.2815
Al1 0.0000 0.7157 0.7157
Ge1 0.5000 0.5647 0.5647

theoretical density: 5.69 g/cm3
formation energy from the elements: -0.704 eV/atom

# 6
SmAlZnGe2: relaxed, PBE.

a b c (Å): 6.2080 6.2080 8.7686
angles (deg): 93.62 93.62 38.95
Element x y z (fractional)
Sm1 0.1918 0.1918 0.2960
Sm2 0.8082 0.8082 0.7040
Al1 0.4710 0.4710 0.2584
Al2 0.5290 0.5290 0.7416
Zn1 0.1630 0.1630 0.9040
Zn2 0.8370 0.8370 0.0960
Ge1 0.1013 0.1013 0.6108
Ge2 0.3848 0.3848 0.9500
Ge3 0.6152 0.6152 0.0500
Ge4 0.8987 0.8987 0.3892

theoretical density: 6.08 g/cm3
formation energy from the elements: -0.300 eV/atom

# 7
AlSn2Ge2: relaxed, PBE.

a b c (Å): 6.6992 6.6992 5.1679
angles (deg): 90.00 90.00 90.00
Element x y z (fractional)
Al1 0.0000 0.0000 0.0000
Al2 0.5000 0.5000 0.0000
Sn1 0.2163 0.2837 0.5000
Sn2 0.2837 0.7837 0.5000
Sn3 0.7163 0.2163 0.5000
Sn4 0.7837 0.7163 0.5000
Ge1 0.1338 0.6338 0.0000
Ge2 0.3662 0.1338 0.0000
Ge3 0.6338 0.8662 0.0000
Ge4 0.8662 0.3662 0.0000

theoretical density: 5.87 g/cm3
distance to the lowest polymorph of the same formula: 0 meV per atom
formation energy from the elements: 0.168 eV/atom

# 8
AlSnGe: relaxed, PBE.

a b c (Å): 4.0729 4.0729 4.7396
angles (deg): 90.00 90.00 120.00
Element x y z (fractional)
Al1 0.0000 0.0000 0.0000
Sn1 0.6667 0.3333 0.4046
Ge1 0.3333 0.6667 0.7660

theoretical density: 5.32 g/cm3
distance to the lowest polymorph of the same formula: 0 meV per atom
formation energy from the elements: 0.150 eV/atom

Number 1: total DFT energy (no corrections) -26.1 eV/cell. Number 2: total DFT energy (no corrections) -15.2 eV/cell. Number 3: total DFT energy (no corrections) -91.6 eV/cell. Number 4: total DFT energy (no corrections) -20.2 eV/cell. Number 5: total DFT energy (no corrections) -22.4 eV/cell. Number 6: total DFT energy (no corrections) -40.9 eV/cell. Number 7: total DFT energy (no corrections) -40.3 eV/cell. Number 8: total DFT energy (no corrections) -11.9 eV/cell.